Compound: Cu2SiTe3
Source: the Alexandria database
Functional: PBE
Structure: optimized geometry

The structure in CIF format:
```
data_Cu2SiTe3
_chemical_formula_sum 'Cu4 Si2 Te6'
_space_group_name_H-M_alt 'I m m 2'
_space_group_IT_number 44
_space_group_name_Hall 'I 2 -2'
_cell_length_a 4.283
_cell_length_b 12.597
_cell_length_c 5.942
_cell_angle_alpha 90.00
_cell_angle_beta 90.00
_cell_angle_gamma 90.00
loop_
_atom_site_label
_atom_site_type_symbol
_atom_site_fract_x
_atom_site_fract_y
_atom_site_fract_z
Cu1 Cu 0.000 0.166 0.000
Si1 Si 0.000 0.500 0.025
Te1 Te 0.000 0.000 0.258
Te2 Te 0.000 0.331 0.261
```

## Properties
Its formation energy (no corrections) is -75 meV/atom. The value obtained for the volume is 26.718 Å³/atom. For the density of states at the Fermi level, the calculation gives 0.37 states/eV per cell. For the calculated total energy, the calculation gives -46.98 eV for the cell shown.